# 1
Material: Mn2IrRu2
Method: DFT, PBE
State: optimized geometry

abc: 7.024 7.024 2.684
angles: 90.00 90.00 90.00
Fractional coordinates of all 10 atoms:
Mn1 0.170 0.330 0.000
Mn2 0.330 0.830 0.000
Mn3 0.670 0.170 0.000
Mn4 0.830 0.670 0.000
Ir1 0.000 0.000 0.500
Ir2 0.500 0.500 0.500
Ru1 0.128 0.628 0.500
Ru2 0.372 0.128 0.500
Ru3 0.628 0.872 0.500
Ru4 0.872 0.372 0.500

Results
D(E_F) ... 1.14 states/eV/atom
Energy relative to the elements ... 0.228 eV/atom
Total magnetization ... 0.00 Bohr magnetons per cell

# 2
Material: LiPmBe2Si2
Method: DFT, PBE
State: optimized geometry

abc: 3.966 3.966 6.717
angles: 90.00 90.00 120.00
Fractional coordinates of all 6 atoms:
Li1 0.000 0.000 0.000
Pm1 0.000 0.000 0.500
Be1 0.333 0.667 0.177
Be2 0.667 0.333 0.823
Si1 0.333 0.667 0.787
Si2 0.667 0.333 0.213

Results
Energy relative to the elements, uncorrected ... -382 meV per atom
D(E_F) ... 0.12 states/eV/atom
Total magnetization ... 0.00 Bohr magnetons per cell

# 3
Material: KMg2Tc
Method: DFT, PBE
State: optimized geometry

abc: 5.053 5.053 7.856
angles: 92.54 92.54 32.59
Fractional coordinates of all 4 atoms:
K1 0.000 0.000 0.000
Mg1 0.237 0.237 0.625
Mg2 0.492 0.492 0.419
Tc1 0.755 0.755 0.329

Results
D(E_F) ... 0.91 states/eV/atom
Energy relative to the elements ... 0.628 eV/atom
Total magnetization ... 0.00 Bohr magnetons per cell

Q: What is the D(E_F) in the third record?
A: 0.91 states/eV/atom

Q: Among the records above, which one has the highest D(E_F)?
A: Mn2IrRu2

Q: Number 3 is which compound?
A: KMg2Tc